This record from Alexandria via LeMat-Bulk describes a relaxed CsAg2Te2S6 crystal. The functional is PBE-GGA.

a b c (Å): 6.8994 7.4578 8.4562
angles (deg): 67.60 89.31 75.93
Closest atoms and distances in Å follow each position.
Space group P-1 (No. 2)
One atom of each set of equivalent atoms:
Cs1 0.0000 0.0000 0.0000 x1  6 S 3.68-3.86
Ag1 0.4620 0.7724 0.6544 x2  4 S 2.47-2.69
Te1 0.0208 0.2796 0.4208 x2  3 S 2.36-2.48
S1 0.2173 0.5976 0.8185 x2  1 Te 2.36, 1 Ag 2.47
S2 0.2195 0.5129 0.3570 x2  1 Te 2.37
S3 0.2815 0.0335 0.3500 x2  1 Te 2.48, 2 Ag 2.54-2.65

Calculated values
- Energy: -39.04 eV/f.u.
- Formation energy (no corrections): -1.4 eV/f.u.

***

This record from Alexandria via LeMat-Bulk describes a relaxed CsAgTeS2 crystal. The functional is PBE-GGA.

a b c (Å): 8.5891 15.8501 5.1303
angles (deg): 90.00 90.00 90.00
Closest atoms and distances in Å follow each position.
Space group Cmme (No. 67)
One atom of each set of equivalent atoms:
Cs1 0.0000 0.2500 0.1657 x4  4 S 3.41-3.55
Ag1 0.0000 0.0000 0.0000 x4  2 S 2.43
Te1 0.2500 0.0000 0.5000 x4  4 S 2.79
S1 0.0000 0.1018 0.6471 x8  1 Ag 2.43

Calculated values
- Energy: -16.44 eV/f.u.
- Formation energy (no corrections): -1.3 eV/f.u.

***

This record from Alexandria via LeMat-Bulk describes a relaxed Cs2Ag2TeS4 crystal. The functional is PBE-GGA.

a b c (Å): 15.6593 4.2014 8.1189
angles (deg): 90.00 109.94 90.00
Closest atoms and distances in Å follow each position.
Space group C2/m (No. 12)
One atom of each set of equivalent atoms:
Cs1 0.1372 0.0000 0.0668 x4  7 S 3.51-3.70, 3 Ag 3.72-3.87
Ag1 0.1865 0.5000 0.4893 x4  4 S 2.59-2.78, 2 Ag 2.86
Te1 0.0000 0.0000 0.5000 x2  6 S 2.73-2.77
S1 0.0137 0.5000 0.2872 x4  1 Ag 2.64, 2 Te 2.77
S2 0.1834 0.0000 0.6734 x4  3 Ag 2.59-2.78, 1 Te 2.73

Calculated values
- Energy: -30.90 eV/f.u.
- Formation energy (no corrections): -3.8 eV/f.u.

***

This record from Alexandria via LeMat-Bulk describes a relaxed CsTh2AgS5 crystal. The functional is PBE-GGA.

a b c (Å): 7.9540 7.9540 14.9848
angles (deg): 90.00 90.00 90.00
Closest atoms and distances in Å follow each position.
Space group I4/mcm (No. 140)
One atom of each set of equivalent atoms:
Cs1 0.0000 0.0000 0.2500 x4  10 S 3.67-3.75, 4 Ag 3.98
Th1 0.1660 0.3340 0.0000 x8  8 S 2.76-3.00
Ag1 0.0000 0.5000 0.2500 x4  4 S 2.58
S1 0.0000 0.0000 0.0000 x4  4 Th 2.97
S2 0.1419 0.3581 0.3852 x16  1 Ag 2.58, 1 Th 2.76

Calculated values
- Energy: -53.23 eV/f.u.
- Formation energy (no corrections): -14.1 eV/f.u.

***

This record from Alexandria via LeMat-Bulk describes a relaxed Cs2ThAg2S4 crystal. The functional is PBE-GGA.

a b c (Å): 15.4536 4.2720 8.2686
angles (deg): 90.00 108.81 90.00
Closest atoms and distances in Å follow each position.
Space group C2/m (No. 12)
One atom of each set of equivalent atoms:
Cs1 0.1384 0.0000 0.0691 x4  7 S 3.54-3.75, 3 Ag 3.85-3.93
Th1 0.0000 0.0000 0.5000 x2  6 S 2.81-2.85
Ag1 0.1796 0.5000 0.4855 x4  4 S 2.58-2.74
S1 0.0134 0.5000 0.2814 x4  1 Ag 2.58, 2 Th 2.85
S2 0.1894 0.0000 0.6726 x4  3 Ag 2.61-2.74, 1 Th 2.81

Calculated values
- Energy: -41.96 eV/f.u.
- Formation energy (no corrections): -10.6 eV/f.u.

***

This record from Alexandria via LeMat-Bulk describes a relaxed CsThAg2S4 crystal. The functional is PBE-GGA.

a b c (Å): 7.0727 7.1054 8.9362
angles (deg): 90.00 90.00 90.00
Closest atoms and distances in Å follow each position.
Space group I222 (No. 23)
One atom of each set of equivalent atoms:
Cs1 0.0000 0.0000 0.0000 x2  8 S 3.39-3.47
Th1 0.0000 0.0000 0.5000 x2  4 S 2.68
Ag1 0.0000 0.5000 0.2473 x4  4 S 2.59-2.61
S1 0.2079 0.2070 0.3103 x8  2 Ag 2.59-2.61, 1 Th 2.68

Calculated values
- Energy: -36.98 eV/f.u.
- Formation energy (no corrections): -6.5 eV/f.u.

***

This record from Alexandria via LeMat-Bulk describes a relaxed CsTh2Ag2S6 crystal. The functional is PBE-GGA.

a b c (Å): 7.5860 7.6417 7.8707
angles (deg): 61.07 61.44 68.13
Closest atoms and distances in Å follow each position.
Space group P-1 (No. 2)
One atom of each set of equivalent atoms:
Cs1 0.0000 0.0000 0.0000 x1  6 S 3.45-3.58
Th1 0.3198 0.0134 0.3479 x2  6 S 2.75-2.87
Ag1 0.3744 0.5274 0.7271 x2  3 S 2.42-2.56
S1 0.0559 0.7594 0.6797 x2  1 Ag 2.48, 1 Th 2.75
S2 0.3624 0.2384 0.5104 x2  1 Ag 2.56, 2 Th 2.76-2.79
S3 0.4529 0.7923 0.0854 x2  1 Ag 2.42

Calculated values
- Energy: -58.92 eV/f.u.
- Formation energy (no corrections): -12.8 eV/f.u.

***

This record from Alexandria via LeMat-Bulk describes a relaxed Cs2Th2AgS6 crystal. The functional is PBE-GGA.

a b c (Å): 7.0281 12.7526 8.5629
angles (deg): 90.00 104.31 90.00
Closest atoms and distances in Å follow each position.
Space group C2/m (No. 12)
One atom of each set of equivalent atoms:
Cs1 0.0000 0.1545 0.0000 x4  6 S 3.49-3.61
Th1 0.0000 0.3338 0.5000 x4  6 S 2.75-2.85
Ag1 0.0000 0.0000 0.5000 x2  2 S 2.52
S1 0.2367 0.1825 0.6894 x8  2 Th 2.75-2.79, 1 Ag 3.08
S2 0.2428 0.5000 0.6601 x4  1 Ag 2.52

Calculated values
- Energy: -59.45 eV/f.u.
- Formation energy (no corrections): -15.3 eV/f.u.

***

This record from Alexandria via LeMat-Bulk describes a relaxed CsTiAg2S crystal. The functional is PBE-GGA.

a b c (Å): 5.5349 5.5349 5.2764
angles (deg): 90.00 90.00 90.00
Closest atoms and distances in Å follow each position.
Space group P4/mmm (No. 123)
One atom of each set of equivalent atoms:
Cs1 0.0000 0.0000 0.0000 x1  2 Ti 2.64, 4 Ag 2.77
Ti1 0.0000 0.0000 0.5000 x1  2 Cs 2.64
Ag1 0.0000 0.5000 0.0000 x2  2 Cs 2.77
S1 0.5000 0.5000 0.5000 x1  8 Ag 3.82, 4 Ti 3.91

Calculated values
- Energy: -8.70 eV/f.u.
- Formation energy (no corrections): 9.9 eV/f.u.

***

This record from Alexandria via LeMat-Bulk describes a relaxed Cs2TiAgS4 crystal. The functional is PBE-GGA.

a b c (Å): 6.0011 14.2494 25.3517
angles (deg): 90.00 90.00 90.00
Closest atoms and distances in Å follow each position.
Space group Fddd (No. 70, origin choice 2)
One atom of each set of equivalent atoms:
Cs1 0.1250 0.1250 0.3022 x16  8 S 3.64-3.93
Ti1 0.1250 0.1250 0.1250 x8  4 S 2.27
Ag1 0.1250 0.1250 0.6250 x8  4 S 2.51
S1 0.0935 0.2822 0.4264 x32  1 Ti 2.27, 1 Ag 2.51

Calculated values
- Energy: -37.13 eV/f.u.
- Formation energy (no corrections): -8.2 eV/f.u.

***

This record from Alexandria via LeMat-Bulk describes a relaxed CsTlAgS2 crystal. The functional is PBE-GGA.

a b c (Å): 7.0201 14.4819 6.3021
angles (deg): 90.00 90.00 90.00
Closest atoms and distances in Å follow each position.
Space group Cmme (No. 67)
One atom of each set of equivalent atoms:
Cs1 0.0000 0.2500 0.2427 x4  8 S 3.66-4.00, 2 Ag 3.93
Tl1 0.2500 0.0000 0.5000 x4  4 S 2.87
Ag1 0.0000 0.0000 0.0000 x4  2 S 2.38
S1 0.0000 0.1181 0.7384 x8  1 Ag 2.38

Calculated values
- Energy: -16.56 eV/f.u.
- Formation energy (no corrections): -2.2 eV/f.u.

***

This record from Alexandria via LeMat-Bulk describes a relaxed CsTmAgS2 crystal. The functional is PBE-GGA.

a b c (Å): 7.9807 5.0861 7.6589
angles (deg): 90.00 97.87 90.00
Closest atoms and distances in Å follow each position.
Space group P2/c (No. 13)
One atom of each set of equivalent atoms:
Cs1 0.0000 0.1282 0.2500 x2  6 S 3.56-3.70
Tm1 0.5000 0.4955 0.7500 x2  4 S 2.65
Ag1 0.5000 0.0000 0.0000 x2  2 S 2.63
S1 0.2800 0.3873 0.9696 x4  1 Ag 2.63, 2 Tm 2.65

Calculated values
- Energy: -22.01 eV/f.u.
- Formation energy (no corrections): -5.6 eV/f.u.

***

Which value of energy does entry 5 give?
-41.96 eV/f.u.